# 1
## CaPm4Er (GGA-PBE)

Data for an optimized crystal structure of CaPm4Er.

The structure in POSCAR format:
```
CaPm4Er
1.0
0.000 4.773 4.773
4.773 0.000 4.773
4.773 4.773 0.000
Ca Pm Er
1 4 1
direct
0.000 0.000 0.000
0.130 0.623 0.623
0.623 0.130 0.623
0.623 0.623 0.130
0.623 0.623 0.623
0.250 0.250 0.250
```

Values from the calculation:
**Energy of formation**: 0.2179 eV per atom
**ΔE to the lowest computed polymorph**: 171 meV per atom
**Symmetry**: No. 216


# 2
## YAlCr2 (GGA-PBE)

Data for an optimized crystal structure of YAlCr2.

The structure in POSCAR format:
```
YAlCr2
1.0
3.087 0.000 0.000
0.000 3.087 0.000
0.000 0.000 7.205
Y Al Cr
1 1 2
direct
0.000 0.000 0.000
0.500 0.500 0.318
0.000 0.000 0.540
0.500 0.500 0.691
```

Values from the calculation:
**Energy of formation**: 0.0349 eV per atom
**Symmetry**: No. 99


# 3
## La2Pa2O7 (GGA-PBE)

Data for an optimized crystal structure of La2Pa2O7.

The structure in POSCAR format:
```
La2Pa2O7
1.0
0.000 5.576 5.576
5.576 0.000 5.576
5.576 5.576 0.000
La Pa O
4 4 14
direct
0.000 0.000 0.000
0.000 0.000 0.500
0.000 0.500 0.000
0.500 0.000 0.000
0.000 0.500 0.500
0.500 0.000 0.500
0.500 0.500 0.000
0.500 0.500 0.500
0.125 0.125 0.125
0.150 0.150 0.600
0.150 0.600 0.150
0.150 0.600 0.600
0.400 0.400 0.850
0.400 0.850 0.400
0.400 0.850 0.850
0.600 0.150 0.150
0.600 0.150 0.600
0.600 0.600 0.150
0.850 0.400 0.400
0.850 0.400 0.850
0.850 0.850 0.400
0.875 0.875 0.875
```

Values from the calculation:
**Formation energy without anion corrections**: -39.19 eV per formula unit
**Symmetry**: No. 227


# 4
## PuMn2Cl8 (GGA-PBE)

Data for an optimized crystal structure of PuMn2Cl8.

The structure in POSCAR format:
```
PuMn2Cl8
1.0
7.996 -3.709 0.000
7.996 3.709 0.000
-0.046 0.000 6.529
Pu Mn Cl
1 2 8
direct
0.000 0.000 0.000
0.159 0.159 0.399
0.841 0.841 0.601
0.131 0.131 0.754
0.155 0.684 0.763
0.295 0.295 0.354
0.316 0.845 0.237
0.684 0.155 0.763
0.705 0.705 0.646
0.845 0.316 0.237
0.869 0.869 0.246
```

Values from the calculation:
**Formation energy without anion corrections**: -14.27 eV per formula unit
**Symmetry**: No. 12